Density functional theory data (PBE) for CaCeTaN3 after structural relaxation.

As for the energy relative to the elements, uncorrected: -750 kJ/mol of formula units. The density of states at the Fermi level is 0.3356 states/eV per atom.

The space group is P2_1/m (No. 11) and the conventional cell measures 5.830, 3.377 and 8.758 Å, with angles of 90.00, 102.79 and 90.00 degrees. Symmetry generates all atoms from Ca at (0.232, 0.250, 0.454), Ce at (0.352, 0.750, 0.816), Ta at (0.136, 0.750, 0.137), N at (0.057, 0.250, 0.690), N at (0.241, 0.250, 0.023) and N at (0.434, 0.750, 0.308).



Density functional theory data (PBE) for Nd2Ge4Ir3Pt after structural relaxation.

The density of states at the Fermi level is 0.5095 states/eV per atom. The energy of formation from the pure elements is -796 meV/atom.

The space group is P-4m2 (No. 115) and the conventional cell measures 4.276, 4.276 and 10.293 Å, with angles of 90.00, 90.00 and 90.00 degrees. Symmetry generates all atoms from Nd at (0.000, 0.500, 0.241), Ge at (0.000, 0.000, 0.000), Ge at (0.000, 0.500, 0.637), Ge at (0.500, 0.500, 0.000), Ir at (0.000, 0.500, 0.874), Ir at (0.500, 0.500, 0.500) and Pt at (0.000, 0.000, 0.500).



Density functional theory data (PBE) for DyAgPd2 after structural relaxation.

The density of states at the Fermi level is 0.6963 states/eV per atom. The energy of formation from the pure elements is -620 meV/atom.

The space group is Fm-3m (No. 225) and the conventional cell measures 6.698, 6.698 and 6.698 Å, with angles of 90.00, 90.00 and 90.00 degrees. Symmetry generates all atoms from Dy at (0.000, 0.000, 0.000), Ag at (0.000, 0.000, 0.500) and Pd at (0.250, 0.250, 0.250).



Density functional theory data (PBE) for BeFe3P2 after structural relaxation.

The density of states at the Fermi level is 0.7283 states/eV per atom. The energy of formation from the pure elements is -281 meV/atom.

The space group is Pnma (No. 62) and the conventional cell measures 7.527, 2.934 and 11.634 Å, with angles of 90.00, 90.00 and 90.00 degrees. Symmetry generates all atoms from Be at (0.153, 0.250, 0.121), Fe at (0.050, 0.750, 0.597), Fe at (0.063, 0.250, 0.929), Fe at (0.236, 0.750, 0.795), P at (0.024, 0.750, 0.258) and P at (0.220, 0.250, 0.491).



Which formula does entry 1 have?
CaCeTaN3